No. 1
Material: CaAg4As
Method: DFT, PBE
State: relaxed

```
CaAg4As
1.0
0.000 3.958 3.958
3.958 0.000 3.958
3.958 3.958 0.000
Ca Ag As
1 4 1
Cartesian
0.000 0.000 0.000
4.950 2.966 2.966
2.966 4.950 2.966
2.966 2.966 4.950
4.950 4.950 4.950
1.979 1.979 1.979
```

M_tot: 0.0 μB per cell
DFT total energy: -3.171 eV per atom
E_form: -0.161 eV/atom

***

No. 2
Material: Mn2BeFeH
Method: DFT, PBE
State: relaxed

```
Mn2BeFeH
1.0
3.682 0.000 0.000
0.000 3.682 0.000
0.000 0.000 3.248
Mn Be Fe H
2 1 1 1
Cartesian
0.000 1.841 0.000
1.841 0.000 0.000
0.000 0.000 1.624
1.841 1.841 1.624
0.000 0.000 0.000
```

M_tot: 5.2 μB per cell
DFT total energy: -6.730 eV per atom
offset from the most stable computed form: 29 meV/atom

***

No. 3
Material: Rb2NaOsW
Method: DFT, PBE
State: relaxed

```
Rb2NaOsW
1.0
6.789 0.000 0.000
0.000 6.789 0.000
0.000 0.000 4.700
Rb Na Os W
2 1 1 1
Cartesian
0.000 3.395 0.000
3.395 0.000 0.000
0.000 0.000 2.350
3.395 3.395 0.000
3.395 3.395 2.350
```

M_tot: 1.3 μB per cell
DFT total energy: -4.070 eV per atom
offset from the most stable computed form: 0 meV/atom
E_form: 1.417 eV/atom

***

No. 4
Material: TcPHS2
Method: DFT, PBE
State: relaxed

```
TcPHS2
1.0
4.642 0.000 0.000
0.000 4.642 0.000
0.000 0.000 4.644
Tc P H S
1 1 1 2
Cartesian
0.000 0.000 0.000
0.000 0.000 2.322
2.321 2.321 2.322
0.000 2.321 0.000
2.321 0.000 0.000
```

M_tot: 0.8 μB per cell
DFT total energy: -4.646 eV per atom
offset from the most stable computed form: 98 meV/atom

***

> Which value of DFT total energy does entry 1 give?

-3.171 eV per atom

***

> Among the records above, which one has the highest DFT total energy?

CaAg4As

***

> DFT total energy of number 1 (CaAg4As)?

-3.171 eV per atom

***

> Number 2 is which compound?

Mn2BeFeH